Computed, not measured: SrV4O9 after structural relaxation at the GGA-PBEsol level of DFT.

Lattice parameters (Å, degrees): 8.2914 8.2914 5.3465 90.00 90.00 90.00
Element x y z (fractional)
Sr1 0.2500 0.2500 0.1428
Sr2 0.7500 0.7500 0.8572
V1 0.0362 0.6595 0.3803
V2 0.1595 0.9638 0.6197
V3 0.3405 0.5362 0.6197
V4 0.4638 0.8405 0.3803
V5 0.5362 0.1595 0.6197
V6 0.6595 0.4638 0.3803
V7 0.8405 0.0362 0.3803
V8 0.9638 0.3405 0.6197
O1 0.0062 0.6749 0.0824
O2 0.0412 0.1422 0.4674
O3 0.1422 0.4588 0.4674
O4 0.1749 0.9938 0.9176
O5 0.2500 0.7500 0.5000
O6 0.3251 0.5062 0.9176
O7 0.3578 0.0412 0.4674
O8 0.4588 0.3578 0.4674
O9 0.4938 0.8251 0.0824
O10 0.5062 0.1749 0.9176
O11 0.5412 0.6422 0.5326
O12 0.6422 0.9588 0.5326
O13 0.6749 0.4938 0.0824
O14 0.7500 0.2500 0.5000
O15 0.8251 0.0062 0.0824
O16 0.8578 0.5412 0.5326
O17 0.9588 0.8578 0.5326
O18 0.9938 0.3251 0.9176

Energy = -8.719 eV/atom
Volume = 13.13 Å³ per atom
ρ = 3934 kg/m3
Total magnetization = 0.29 μB/atom